Here is crystalline BiBPd3 at its relaxed geometry from Alexandria via LeMat-Bulk. Energies are from GGA-PBEsol.

Values from the calculation:
VASP energy = -6.0571 eV/atom

Cell: 4.271 4.271 4.271 Å, 90.00 90.00 90.00°
Space group Pm-3m (No. 221)
Inequivalent atoms, fractional coordinates:
Bi (0.000, 0.000, 0.000) x1
B (0.500, 0.500, 0.500) x1
Pd (0.000, 0.500, 0.500) x3